No. 1
# PaGaReMo | the Alexandria database | GGA-PBE | optimized geometry
# Calculated total energy (eV for the cell shown): -142.4
# Spin magnetization (μB per formula unit): 0.0
# DFT formation energy (kJ per mole of atoms): 5.1
data_PaGaReMo
_cell_length_a 6.5654
_cell_length_b 6.5654
_cell_length_c 6.5654
_cell_angle_alpha 90.00
_cell_angle_beta 90.00
_cell_angle_gamma 90.00
_space_group_name_H-M_alt 'P 1'
_space_group_IT_number 1
loop_
_space_group_symop_operation_xyz
'x,y,z'
loop_
_atom_site_label
_atom_site_fract_x
_atom_site_fract_y
_atom_site_fract_z
Pa1 0.0000 0.0000 0.0000
Pa2 0.0000 0.5000 0.5000
Pa3 0.5000 0.0000 0.5000
Pa4 0.5000 0.5000 0.0000
Ga1 0.0000 0.0000 0.5000
Ga2 0.0000 0.5000 0.0000
Ga3 0.5000 0.0000 0.0000
Ga4 0.5000 0.5000 0.5000
Re1 0.2500 0.2500 0.7500
Re2 0.2500 0.7500 0.2500
Re3 0.7500 0.2500 0.2500
Re4 0.7500 0.7500 0.7500
Mo1 0.2500 0.2500 0.2500
Mo2 0.2500 0.7500 0.7500
Mo3 0.7500 0.2500 0.7500
Mo4 0.7500 0.7500 0.2500

No. 2
# PaGaMoRh | the Alexandria database | GGA-PBE | optimized geometry
# Calculated total energy (eV for the cell shown): -128.3
# Spin magnetization (μB per formula unit): 0.0
# DFT formation energy (kJ per mole of atoms): -32.9
data_PaGaMoRh
_cell_length_a 6.5689
_cell_length_b 6.5689
_cell_length_c 6.5689
_cell_angle_alpha 90.00
_cell_angle_beta 90.00
_cell_angle_gamma 90.00
_space_group_name_H-M_alt 'P 1'
_space_group_IT_number 1
loop_
_space_group_symop_operation_xyz
'x,y,z'
loop_
_atom_site_label
_atom_site_fract_x
_atom_site_fract_y
_atom_site_fract_z
Pa1 0.0000 0.0000 0.0000
Pa2 0.0000 0.5000 0.5000
Pa3 0.5000 0.0000 0.5000
Pa4 0.5000 0.5000 0.0000
Ga1 0.0000 0.0000 0.5000
Ga2 0.0000 0.5000 0.0000
Ga3 0.5000 0.0000 0.0000
Ga4 0.5000 0.5000 0.5000
Mo1 0.2500 0.2500 0.2500
Mo2 0.2500 0.7500 0.7500
Mo3 0.7500 0.2500 0.7500
Mo4 0.7500 0.7500 0.2500
Rh1 0.2500 0.2500 0.7500
Rh2 0.2500 0.7500 0.2500
Rh3 0.7500 0.2500 0.2500
Rh4 0.7500 0.7500 0.7500

No. 3
# ThPaGaMo | the Alexandria database | GGA-PBE | optimized geometry
# Calculated total energy (eV for the cell shown): -122.2
# Spin magnetization (μB per formula unit): 0.0
# DFT formation energy (kJ per mole of atoms): 5.4
data_ThPaGaMo
_cell_length_a 7.1690
_cell_length_b 7.1690
_cell_length_c 7.1690
_cell_angle_alpha 90.00
_cell_angle_beta 90.00
_cell_angle_gamma 90.00
_space_group_name_H-M_alt 'P 1'
_space_group_IT_number 1
loop_
_space_group_symop_operation_xyz
'x,y,z'
loop_
_atom_site_label
_atom_site_fract_x
_atom_site_fract_y
_atom_site_fract_z
Th1 0.0000 0.0000 0.0000
Th2 0.0000 0.5000 0.5000
Th3 0.5000 0.0000 0.5000
Th4 0.5000 0.5000 0.0000
Pa1 0.0000 0.0000 0.5000
Pa2 0.0000 0.5000 0.0000
Pa3 0.5000 0.0000 0.0000
Pa4 0.5000 0.5000 0.5000
Ga1 0.2500 0.2500 0.2500
Ga2 0.2500 0.7500 0.7500
Ga3 0.7500 0.2500 0.7500
Ga4 0.7500 0.7500 0.2500
Mo1 0.2500 0.2500 0.7500
Mo2 0.2500 0.7500 0.2500
Mo3 0.7500 0.2500 0.2500
Mo4 0.7500 0.7500 0.7500